[1]
Below is ScTi3Pt after structural relaxation, with properties calculated at the PBE-GGA level.

Calculated values
- Total DFT energy (no corrections): -6.1579 eV per atom
- Formation energy: 1.053 eV per atom
- Crystal system: cubic
- SG: Pm-3m

Cell lengths 4.5241, 4.5241, 4.5241 Å; angles 90.00, 90.00, 90.00 degrees
Last column: nearest neighbours and their distance in Å.
Fractional coordinates of all 5 atoms:
Sc (0.0000, 0.0000, 0.0000)  6 Ti 2.26
Pt (0.5000, 0.5000, 0.5000)  12 Ti 3.20
Ti (0.0000, 0.5000, 0.0000)  2 Sc 2.26
Ti (0.0000, 0.0000, 0.5000)  2 Sc 2.26
Ti (0.5000, 0.0000, 0.0000)  2 Sc 2.26


[2]
Below is SiBiF2 after structural relaxation, with properties calculated at the PBE-GGA level.

Calculated values
- Total DFT energy (no corrections): -4.3116 eV per atom
- Crystal system: tetragonal
- SG: I-42d
- Formation energy from raw total energies: -1.050 eV/atom

Cell lengths 4.0987, 4.0987, 8.6393 Å; angles 76.28, 76.28, 90.00 degrees
Last column: nearest neighbours and their distance in Å.
Fractional coordinates of all 8 atoms:
Si (0.5000, 0.5000, 0.0000)  4 F 2.48
Si (0.2500, 0.7500, 0.5000)  4 F 2.48
Bi (0.0000, 0.0000, 0.0000)  4 F 2.51
Bi (0.7500, 0.2500, 0.5000)  4 F 2.51
F (0.6162, 0.1250, 0.2500)  2 Si 2.48, 2 Bi 2.51
F (0.1338, 0.6250, 0.2500)  2 Si 2.48, 2 Bi 2.51
F (0.3750, 0.3838, 0.7500)  2 Si 2.48, 2 Bi 2.51
F (0.8750, 0.8662, 0.7500)  2 Si 2.48, 2 Bi 2.51


[3]
Below is Tb2SmHo3As6 after structural relaxation, with properties calculated at the PBE-GGA level.

Calculated values
- Total DFT energy (no corrections): -6.1649 eV per atom
- Formation energy: -1.531 eV per atom
- Crystal system: monoclinic
- SG: C2/m

Cell lengths 4.1333, 8.2618, 9.2375 Å; angles 102.89, 102.93, 90.00 degrees
Last column: nearest neighbours and their distance in Å.
Fractional coordinates of all 12 atoms:
Tb (0.8329, 0.6661, 0.6659)  6 As 2.92-2.93
Tb (0.1671, 0.3339, 0.3341)  6 As 2.92-2.93
Sm (0.5000, 0.0000, 0.0000)  6 As 2.95
Ho (0.5000, 0.5000, 0.0000)  6 As 2.89-2.91
Ho (0.8336, 0.1671, 0.6671)  6 As 2.89-2.91
Ho (0.1664, 0.8329, 0.3329)  6 As 2.89-2.91
As (0.3315, 0.9173, 0.6631)  3 Ho 2.89-2.91, 2 Tb 2.93, 1 Sm 2.95
As (0.6661, 0.5846, 0.3322)  3 Ho 2.91, 3 Tb 2.92-2.93
As (0.6685, 0.0827, 0.3369)  3 Ho 2.89-2.91, 2 Tb 2.93, 1 Sm 2.95
As (0.9997, 0.2548, 0.9993)  3 Ho 2.89-2.91, 1 Tb 2.93, 2 Sm 2.95
As (0.0003, 0.7452, 0.0007)  3 Ho 2.89-2.91, 1 Tb 2.93, 2 Sm 2.95
As (0.3339, 0.4154, 0.6678)  3 Ho 2.91, 3 Tb 2.92-2.93


[4]
Below is Hf2BeBIr6 after structural relaxation, with properties calculated at the PBE-GGA level.

Calculated values
- Total DFT energy (no corrections): -8.9210 eV per atom
- Formation energy: -0.573 eV per atom
- Crystal system: cubic
- SG: Fm-3m

Cell lengths 5.9003, 5.9001, 5.9059 Å; angles 60.01, 60.01, 90.00 degrees
Last column: nearest neighbours and their distance in Å.
Fractional coordinates of all 10 atoms:
Hf (0.7500, 0.2501, 0.4999)  12 Ir 2.95
Hf (0.2500, 0.7499, 0.5001)  12 Ir 2.95
Be (0.0000, 0.0000, 0.0000)  6 Ir 2.11
B (0.5000, 0.5000, 0.0000)  6 Ir 2.06
Ir (0.2530, 0.2530, 0.4941)  1 B 2.06, 1 Be 2.11
Ir (0.7471, 0.7470, 0.0000)  1 B 2.06, 1 Be 2.11
Ir (0.2530, 0.7471, 0.0000)  1 B 2.06, 1 Be 2.11
Ir (0.7470, 0.2529, 0.0000)  1 B 2.06, 1 Be 2.11
Ir (0.2529, 0.2530, 0.0000)  1 B 2.06, 1 Be 2.11
Ir (0.7470, 0.7470, 0.5059)  1 B 2.06, 1 Be 2.11


[5]
Below is MgTaAl2 after structural relaxation, with properties calculated at the PBE-GGA level.

Calculated values
- Total DFT energy (no corrections): -5.2659 eV per atom
- Formation energy: -0.033 eV per atom
- Crystal system: orthorhombic
- SG: Imm2

Cell lengths 5.5624, 5.5624, 5.5624 Å; angles 147.48, 131.00, 60.05 degrees
Last column: nearest neighbours and their distance in Å.
Fractional coordinates of all 4 atoms:
Al (0.9979, 0.9979, 0.0000)  4 Mg 2.78, 4 Al 2.78-3.11, 2 Ta 2.81
Al (0.7584, 0.2584, 0.5000)  4 Al 2.78-3.11, 4 Ta 2.79, 2 Mg 2.91
Mg (0.5026, 0.5026, 0.0000)  6 Al 2.78-2.91, 2 Ta 2.96, 2 Mg 3.11
Ta (0.2411, 0.7411, 0.5000)  6 Al 2.79-2.81, 2 Mg 2.96, 2 Ta 3.11


[6]
Below is KNaCd after structural relaxation, with properties calculated at the PBE-GGA level.

Calculated values
- Total DFT energy (no corrections): -1.1016 eV per atom
- Formation energy: 0.009 eV per atom
- Crystal system: hexagonal
- SG: P-6m2

Cell lengths 4.2035, 5.6691, 5.6691 Å; angles 120.00, 90.00, 90.00 degrees
Last column: nearest neighbours and their distance in Å.
Fractional coordinates of all 3 atoms:
Na (0.1665, 0.0000, 0.0000)  3 Cd 3.27
K (0.6668, 0.6667, 0.3333)  6 Na 3.89, 6 Cd 3.89, 2 K 4.20
Cd (0.1667, 0.3333, 0.6667)  3 Na 3.27


[7]
Below is Mg2ZrBe after structural relaxation, with properties calculated at the PBE-GGA level.

Calculated values
- Total DFT energy (no corrections): -3.7114 eV per atom
- Formation energy: 0.155 eV per atom
- Crystal system: monoclinic
- SG: Pm

Cell lengths 4.2043, 3.0712, 6.1201 Å; angles 75.33, 90.00, 90.00 degrees
Last column: nearest neighbours and their distance in Å.
Fractional coordinates of all 4 atoms:
Be (0.5000, 0.9508, 0.7204)  3 Mg 2.65-2.82, 4 Zr 2.81
Mg (0.0000, 0.8168, 0.9939)  2 Be 2.65
Mg (0.5000, 0.1913, 0.2437)  1 Be 2.82, 6 Mg 2.99-3.07, 4 Zr 3.15
Zr (0.0000, 0.5411, 0.5420)  4 Be 2.81, 2 Zr 3.07, 4 Mg 3.08-3.15


[8]
Below is LaZnHg2 after structural relaxation, with properties calculated at the PBE-GGA level.

Calculated values
- Total DFT energy (no corrections): -2.0528 eV per atom
- Formation energy: -0.352 eV per atom
- Crystal system: orthorhombic
- SG: Imm2

Cell lengths 5.1545, 5.1546, 5.1519 Å; angles 120.08, 119.91, 90.04 degrees
Last column: nearest neighbours and their distance in Å.
Fractional coordinates of all 4 atoms:
Zn (0.7508, 0.2508, 0.5000)  4 Hg 3.15-3.16, 4 La 3.16
Hg (0.9995, 0.9995, 0.0000)  4 Zn 3.15-3.16, 4 Hg 3.15-3.16
Hg (0.2496, 0.7496, 0.5000)  4 Hg 3.15-3.16, 4 La 3.16
La (0.5002, 0.5002, 0.0000)  4 Hg 3.16, 4 Zn 3.16